[1]
Tb2HoTl3Te6 | Alexandria | PBE | relaxed; crystal system = monoclinic; space-group type = C2/m, No. 12; uncorrected formation energy = -1.055 eV/atom
1.0
-3.938 -1.382 6.492
7.286 -2.450 -0.690
1.561 8.353 1.197
Tb Ho Tl Te
2 1 3 6
Direct
0.333 0.667 0.000
0.667 0.333 0.000
0.000 0.000 0.000
0.167 0.833 0.500
0.833 0.167 0.500
0.500 0.500 0.500
0.929 0.598 0.787
0.740 0.740 0.214
0.071 0.402 0.213
0.598 0.929 0.787
0.260 0.260 0.786
0.402 0.071 0.213


[2]
Tb4NiGe3 | Alexandria | PBE | relaxed; crystal system = orthorhombic; formation energy from the elements = -0.749 eV per atom; space-group type = Pmm2, No. 25
1.0
4.179 0.000 0.000
0.000 4.037 0.000
0.000 0.000 10.759
Tb Ni Ge
4 1 3
Direct
0.500 0.500 0.353
0.000 0.500 0.867
0.000 0.000 0.135
0.500 0.000 0.641
0.500 0.500 0.074
0.000 0.500 0.585
0.000 0.000 0.419
0.500 0.000 0.925


[3]
SrSiAs2Br | Alexandria | PBE | relaxed; crystal system = tetragonal; space-group type = P4/mmm, No. 123; ΔE to the lowest computed polymorph = 0.000 eV per atom; uncorrected formation energy = -0.349 eV/atom
1.0
4.792 0.000 0.000
0.000 4.792 0.000
0.000 0.000 5.710
Sr As Si Br
1 2 1 1
Direct
0.500 0.500 0.500
0.000 0.500 0.000
0.500 0.000 0.000
0.000 0.000 0.000
0.000 0.000 0.500


[4]
CeScIr | Alexandria | PBE | relaxed; crystal system = cubic; formation energy from the elements = -0.519 eV per atom; space-group type = F-43m, No. 216; ΔE to the lowest computed polymorph = 0.127 eV per atom
1.0
4.711 0.000 0.000
2.355 4.080 0.000
2.355 1.360 3.846
Sc Ir Ce
1 1 1
Direct
0.000 0.000 0.000
0.250 0.250 0.250
0.500 0.500 0.500


[5]
Pa3B7Rh | Alexandria | PBE | relaxed; crystal system = orthorhombic; formation energy from the elements = -0.476 eV per atom; space-group type = Cmcm, No. 63
1.0
-1.554 0.345 3.120
7.838 -0.945 2.044
1.242 9.393 -0.419
Pa B Rh
6 14 2
Direct
0.107 0.214 0.438
0.893 0.786 0.562
0.250 0.500 0.750
0.750 0.500 0.250
0.107 0.214 0.062
0.893 0.786 0.938
0.459 0.918 0.750
0.541 0.082 0.250
0.479 0.959 0.411
0.521 0.041 0.589
0.521 0.041 0.911
0.479 0.959 0.089
0.366 0.732 0.348
0.634 0.268 0.652
0.275 0.549 0.466
0.725 0.451 0.534
0.725 0.451 0.966
0.275 0.549 0.034
0.366 0.732 0.152
0.634 0.268 0.848
0.946 0.892 0.250
0.054 0.108 0.750


[6]
Li2YHf | Alexandria | PBE | relaxed; crystal system = orthorhombic; formation energy from the elements = 0.081 eV per atom; space-group type = Pmmn, No. 59; ΔE to the lowest computed polymorph = 0.004 eV per atom
1.0
-0.823 -0.561 3.328
-9.846 -8.711 -3.905
2.675 -3.087 0.141
Li Y Hf
4 2 2
Direct
0.000 0.446 0.500
0.500 0.554 0.000
0.000 0.662 0.500
0.500 0.338 0.000
0.000 0.189 0.500
0.500 0.811 0.000
0.000 0.951 0.500
0.500 0.049 0.000


no.,total moment (μB/cell)
1,0.00
2,0.00
3,0.00
4,0.91
5,0.00
6,0.00